(1)
Computed, not measured: a geometry-optimized V4CoNi2 structure at the PBE level of DFT.

Crystal system   tetragonal

a b c (Å): 6.610 6.610 6.610
angles (deg): 142.98 142.98 53.35
Element x y z (fractional)
V (0.000, 0.500, 0.500)
V (0.196, 0.196, 0.000)
V (0.500, 0.000, 0.500)
V (0.804, 0.804, 0.000)
Co (0.000, 0.000, 0.000)
Ni (0.386, 0.386, 0.000)
Ni (0.614, 0.614, 0.000)

=====

(2)
Computed, not measured: a geometry-optimized VCo2Ni6 structure at the PBE level of DFT.

Crystal system   orthorhombic

a b c (Å): 7.109 7.109 7.109
angles (deg): 160.24 122.93 61.00
Element x y z (fractional)
V (0.000, 0.000, 0.000)
Co (0.348, 0.848, 0.500)
Co (0.652, 0.152, 0.500)
Ni (0.004, 0.328, 0.676)
Ni (0.327, 0.500, 0.827)
Ni (0.348, 0.672, 0.676)
Ni (0.652, 0.328, 0.324)
Ni (0.673, 0.500, 0.173)
Ni (0.996, 0.672, 0.324)

=====

(3)
Computed, not measured: a geometry-optimized V2Co3Ni2 structure at the PBE level of DFT.

Crystal system   monoclinic

a b c (Å): 4.438 4.438 5.538
angles (deg): 95.99 95.99 47.34
Element x y z (fractional)
V (0.140, 0.140, 0.403)
V (0.860, 0.860, 0.597)
Co (0.000, 0.000, 0.000)
Co (0.286, 0.286, 0.849)
Co (0.714, 0.714, 0.151)
Ni (0.430, 0.430, 0.283)
Ni (0.570, 0.570, 0.717)

=====

(4)
Computed, not measured: a geometry-optimized V4CoNi12 structure at the PBE level of DFT.

Crystal system   cubic

a b c (Å): 6.397 6.397 6.397
angles (deg): 109.47 109.47 109.47
Element x y z (fractional)
V (0.000, 0.000, 0.500)
V (0.000, 0.500, 0.000)
V (0.500, 0.000, 0.000)
V (0.500, 0.500, 0.500)
Co (0.000, 0.000, 0.000)
Ni (0.000, 0.297, 0.297)
Ni (0.000, 0.703, 0.703)
Ni (0.250, 0.500, 0.750)
Ni (0.250, 0.750, 0.500)
Ni (0.297, 0.000, 0.297)
Ni (0.297, 0.297, 0.000)
Ni (0.500, 0.250, 0.750)
Ni (0.500, 0.750, 0.250)
Ni (0.703, 0.000, 0.703)
Ni (0.703, 0.703, 0.000)
Ni (0.750, 0.250, 0.500)
Ni (0.750, 0.500, 0.250)

=====

(5)
Computed, not measured: a geometry-optimized VCoNi2 structure at the PBE level of DFT.

Crystal system   tetragonal

a b c (Å): 4.327 4.327 4.327
angles (deg): 131.37 131.37 71.23
Element x y z (fractional)
V (0.000, 0.000, 0.000)
Co (0.750, 0.250, 0.500)
Ni (0.250, 0.750, 0.500)
Ni (0.500, 0.500, 0.000)

=====

(6)
Computed, not measured: a geometry-optimized V6CoNi structure at the PBE level of DFT.

Crystal system   cubic

a b c (Å): 4.660 4.660 4.660
angles (deg): 90.00 90.00 90.00
Element x y z (fractional)
V (0.000, 0.249, 0.500)
V (0.000, 0.751, 0.500)
V (0.249, 0.500, 0.000)
V (0.500, 0.000, 0.249)
V (0.500, 0.000, 0.751)
V (0.751, 0.500, 0.000)
Co (0.000, 0.000, 0.000)
Ni (0.500, 0.500, 0.500)

=====

(7)
Computed, not measured: a geometry-optimized VCo4Ni3 structure at the PBE level of DFT.

Crystal system   orthorhombic

a b c (Å): 6.266 6.266 6.266
angles (deg): 157.60 99.26 85.10
Element x y z (fractional)
V (0.000, 0.000, 0.000)
Co (0.122, 0.870, 0.252)
Co (0.382, 0.130, 0.252)
Co (0.618, 0.870, 0.748)
Co (0.878, 0.130, 0.748)
Ni (0.236, 0.736, 0.500)
Ni (0.500, 0.500, 0.000)
Ni (0.764, 0.264, 0.500)

=====

(8)
Computed, not measured: a geometry-optimized VCo3Ni2 structure at the PBE level of DFT.

Crystal system   orthorhombic

a b c (Å): 6.587 6.587 4.520
angles (deg): 90.00 90.00 135.42
Element x y z (fractional)
V (0.154, 0.846, 0.750)
V (0.846, 0.154, 0.250)
Co (0.073, 0.431, 0.750)
Co (0.347, 0.653, 0.250)
Co (0.431, 0.073, 0.250)
Co (0.569, 0.927, 0.750)
Co (0.653, 0.347, 0.750)
Co (0.927, 0.569, 0.250)
Ni (0.252, 0.252, 0.000)
Ni (0.252, 0.252, 0.500)
Ni (0.748, 0.748, 0.000)
Ni (0.748, 0.748, 0.500)

=====

(9)
Computed, not measured: a geometry-optimized VCo3Ni3 structure at the PBE level of DFT.

Crystal system   cubic

a b c (Å): 6.884 6.884 6.884
angles (deg): 90.00 90.00 90.00
Element x y z (fractional)
V (0.103, 0.397, 0.603)
V (0.397, 0.603, 0.103)
V (0.603, 0.103, 0.397)
V (0.897, 0.897, 0.897)
Co (0.072, 0.196, 0.890)
Co (0.110, 0.572, 0.304)
Co (0.196, 0.890, 0.072)
Co (0.304, 0.110, 0.572)
Co (0.390, 0.428, 0.804)
Co (0.428, 0.804, 0.390)
Co (0.572, 0.304, 0.110)
Co (0.610, 0.928, 0.696)
Co (0.696, 0.610, 0.928)
Co (0.804, 0.390, 0.428)
Co (0.890, 0.072, 0.196)
Co (0.928, 0.696, 0.610)
Ni (0.082, 0.582, 0.918)
Ni (0.106, 0.894, 0.394)
Ni (0.220, 0.220, 0.220)
Ni (0.280, 0.780, 0.720)
Ni (0.394, 0.106, 0.894)
Ni (0.418, 0.418, 0.418)
Ni (0.582, 0.918, 0.082)
Ni (0.606, 0.606, 0.606)
Ni (0.720, 0.280, 0.780)
Ni (0.780, 0.720, 0.280)
Ni (0.894, 0.394, 0.106)
Ni (0.918, 0.082, 0.582)

=====

(10)
Computed, not measured: a geometry-optimized VCoNi2 structure at the PBE level of DFT.

Crystal system   cubic

a b c (Å): 4.014 4.014 4.014
angles (deg): 60.00 60.00 60.00
Element x y z (fractional)
V (0.000, 0.000, 0.000)
Co (0.500, 0.500, 0.500)
Ni (0.250, 0.250, 0.250)
Ni (0.750, 0.750, 0.750)

=====

(11)
Computed, not measured: a geometry-optimized V2Co3Ni2 structure at the PBE level of DFT.

Crystal system   monoclinic

a b c (Å): 6.140 6.140 6.158
angles (deg): 116.09 116.09 23.17
Element x y z (fractional)
V (0.130, 0.130, 0.403)
V (0.870, 0.870, 0.597)
Co (0.279, 0.279, 0.854)
Co (0.500, 0.500, 0.000)
Co (0.721, 0.721, 0.146)
Ni (0.417, 0.417, 0.290)
Ni (0.583, 0.583, 0.710)

=====

(12)
Computed, not measured: a geometry-optimized V3Co8Ni2 structure at the PBE level of DFT.

Crystal system   trigonal

a b c (Å): 9.168 9.168 9.168
angles (deg): 28.77 28.77 28.77
Element x y z (fractional)
V (0.000, 0.000, 0.000)
V (0.183, 0.183, 0.183)
V (0.817, 0.817, 0.817)
Co (0.233, 0.733, 0.733)
Co (0.267, 0.267, 0.767)
Co (0.267, 0.767, 0.267)
Co (0.272, 0.272, 0.272)
Co (0.728, 0.728, 0.728)
Co (0.733, 0.233, 0.733)
Co (0.733, 0.733, 0.233)
Co (0.767, 0.267, 0.267)
Ni (0.358, 0.358, 0.358)
Ni (0.642, 0.642, 0.642)

=====

What did we get for total DFT energy (no corrections)? Answer: -7.195 -6.404 -7.347 -6.566 -7.126 -8.623 -6.730 -6.919 -6.670 -6.924 -7.276 -7.191 eV/atom, in the order shown.